# InSbPt2 (SCAN, PBEsol geometry)
data_InSbPt2
_cell_length_a 4.7211
_cell_length_b 4.7211
_cell_length_c 4.7211
_cell_angle_alpha 60.00
_cell_angle_beta 60.00
_cell_angle_gamma 60.00
_symmetry_space_group_name_H-M 'P 1'
_symmetry_Int_Tables_number 1
_symmetry_space_group_name_Hall 'P 1'
loop_
_atom_site_label
_atom_site_type_symbol
_atom_site_fract_x
_atom_site_fract_y
_atom_site_fract_z
_atom_site_occupancy
In1 In 0.0000 0.0000 0.0000 1
Sb1 Sb 0.7500 0.7500 0.7500 1
Pt1 Pt 0.2500 0.2500 0.2500 1
Pt2 Pt 0.5000 0.5000 0.5000 1
# **Crystal system**: cubic
# **Raw formation energy**: 148 meV/atom
# **Uncorrected energy**: -52.610 eV/atom
# **DOS(E_F)**: 2.39 states/eV/f.u.